# GGA-PBE Sr2Co, relaxed
# density	2.73	Mg/m³
# E	-2.484	eV/atom
# energy of formation from the pure elements	97.08	kJ/mol of atoms
data_Sr2Co
_chemical_formula_sum 'Sr8 Co4'
_cell_length_a 9.9948
_cell_length_b 9.9948
_cell_length_c 6.5775
_cell_angle_alpha 90.00
_cell_angle_beta 90.00
_cell_angle_gamma 120.00
_symmetry_space_group_name_H-M 'P 63/m m c'
_symmetry_Int_Tables_number 194
_symmetry_space_group_name_Hall '-P 6c 2c'
loop_
_atom_site_label
_atom_site_fract_x
_atom_site_fract_y
_atom_site_fract_z
Sr1 0.0000 0.0000 0.0000
Sr2 0.2046 0.4091 0.2500
Co1 0.3333 0.6667 0.5898



# GGA-PBE LaAlGa2Pd, relaxed
# density	6.84	Mg/m³
# E	-4.702	eV/atom
# energy of formation from the pure elements	-69.34	kJ/mol of atoms
data_LaAlGa2Pd
_chemical_formula_sum 'La2 Al2 Ga4 Pd2'
_cell_length_a 4.2569
_cell_length_b 4.2569
_cell_length_c 11.0282
_cell_angle_alpha 90.00
_cell_angle_beta 90.00
_cell_angle_gamma 90.00
_symmetry_space_group_name_H-M 'I -4 m 2'
_symmetry_Int_Tables_number 119
_symmetry_space_group_name_Hall 'I -4 -2'
loop_
_atom_site_label
_atom_site_fract_x
_atom_site_fract_y
_atom_site_fract_z
La1 0.0000 0.0000 0.0000
Al1 0.0000 0.5000 0.2500
Ga1 0.0000 0.0000 0.3848
Pd1 0.0000 0.5000 0.7500